VOF2 | PBE with a Hubbard U | optimized geometry

Output
- E_tot: -6.48 eV per atom
- Crystal system: triclinic

Cell: 5.2742 5.3104 13.3382 Å, 88.93 89.86 60.27°
Element x y z (fractional)
V  0.0000  0.0000  0.0000
V  0.0000  0.0000  0.5000
V  0.3026  0.3363  0.3372
V  0.3776  0.3436  0.8335
V  0.6224  0.6564  0.1665
V  0.6974  0.6637  0.6628
O  0.1090  0.2387  0.4126
O  0.3390  0.7656  0.0848
O  0.4427  0.5440  0.7505
O  0.5573  0.4560  0.2495
O  0.6610  0.2344  0.9152
O  0.8910  0.7613  0.5874
F  0.0148  0.4066  0.7530
F  0.0967  0.6532  0.9119
F  0.2364  0.0998  0.9146
F  0.2540  0.6653  0.4169
F  0.3248  0.9154  0.5905
F  0.4244  0.0152  0.2412
F  0.5756  0.9848  0.7588
F  0.6752  0.0846  0.4095
F  0.7460  0.3347  0.5831
F  0.7636  0.9002  0.0854
F  0.9033  0.3468  0.0881
F  0.9852  0.5934  0.2470